No. 1
This record from Alexandria describes Ac8Ir3Br3F after structural relaxation. The functional is GGA-PBE.

Values from the calculation:
Calculated density: 8.25 g cm⁻³
Formation energy from raw total energies: -1209 meV/atom
M_tot: 0.0 μB per formula unit

Cell lengths 8.7496, 8.7496, 24.1467 Å; angles 90.00, 90.00, 120.00 degrees
Space group R-3m (No. 166, hexagonal axes)
Symmetry-distinct sites (fractional):
Ac1 0.0000 0.0000 0.2321 [6 per cell]
Ac2 0.0149 0.5075 0.7658 [18 per cell]
Ir1 0.0000 0.5000 0.5000 [9 per cell]
Br1 0.0000 0.5000 0.0000 [9 per cell]
F1 0.0000 0.0000 0.5000 [3 per cell]


No. 2
This record from Alexandria describes Mn4FeHg after structural relaxation. The functional is GGA-PBE.

Values from the calculation:
Calculated density: 10.32 g cm⁻³
Formation enthalpy at 0 K: 0.44 eV/atom
M_tot: 5.9 μB per formula unit

Cell lengths 6.742, 6.742, 6.742 Å; angles 90.00, 90.00, 90.00 degrees
Space group F-43m (No. 216)
Symmetry-distinct sites (fractional):
Mn1 0.125 0.125 0.125 [16 per cell]
Fe1 0.250 0.250 0.750 [4 per cell]
Hg1 0.000 0.000 0.500 [4 per cell]


No. 3
This record from Alexandria describes K2CdIn3Pb4 after structural relaxation. The functional is GGA-PBE.

Values from the calculation:
Calculated density: 6.57 g cm⁻³
Formation enthalpy at 0 K: -0.09 eV/atom
M_tot: 0.0 μB per formula unit

Cell lengths 5.231, 5.231, 12.590 Å; angles 90.00, 90.00, 90.00 degrees
Space group P-4m2 (No. 115)
Symmetry-distinct sites (fractional):
K1 0.000 0.500 0.245 [2 per cell]
Cd1 0.500 0.500 0.000 [1 per cell]
In1 0.000 0.000 0.000 [1 per cell]
In2 0.000 0.500 0.634 [2 per cell]
Pb1 0.000 0.000 0.500 [1 per cell]
Pb2 0.000 0.500 0.870 [2 per cell]
Pb3 0.500 0.500 0.500 [1 per cell]


> calculated density of number 3 (K2CdIn3Pb4)?

6.57 g cm⁻³


Please write out number 3 again, unchanged.
This record from Alexandria describes K2CdIn3Pb4 after structural relaxation. The functional is GGA-PBE.

Values from the calculation:
Calculated density: 6.57 g cm⁻³
Formation enthalpy at 0 K: -0.09 eV/atom
M_tot: 0.0 μB per formula unit

Cell lengths 5.231, 5.231, 12.590 Å; angles 90.00, 90.00, 90.00 degrees
Space group P-4m2 (No. 115)
Symmetry-distinct sites (fractional):
K1 0.000 0.500 0.245 [2 per cell]
Cd1 0.500 0.500 0.000 [1 per cell]
In1 0.000 0.000 0.000 [1 per cell]
In2 0.000 0.500 0.634 [2 per cell]
Pb1 0.000 0.000 0.500 [1 per cell]
Pb2 0.000 0.500 0.870 [2 per cell]
Pb3 0.500 0.500 0.500 [1 per cell]


> The lowest calculated density belongs to which entry?

K2CdIn3Pb4


> Among the records above, which one has the lowest calculated density?

K2CdIn3Pb4